Entry 1:
A plane-wave DFT calculation with GGA-PBEsol was carried out for an optimized crystal structure of CuNi2Br. Values from VASP.

Structure (Quantum ESPRESSO input):
```
&SYSTEM
  ibrav = 0, nat = 4, ntyp = 3
/
ATOMIC_SPECIES
Ni 58.69 Ni.upf
Cu 63.55 Cu.upf
Br 79.90 Br.upf
ATOMIC_POSITIONS crystal
Ni 0.2500 0.2500 0.2500
Cu 0.5000 0.5000 0.5000
Br 0.0000 0.0000 0.0000
Ni 0.7500 0.7500 0.7500
CELL_PARAMETERS angstrom
4.1555 0.0000 0.0000
2.0777 3.5987 0.0000
2.0777 1.1996 3.3929
```

As for the total energy: -16.3 eV per cell. As for the space group: Fm-3m (225). The calculation puts the density at 8.54 g/cm³. The calculation puts the energy above the lowest structure with this stoichiometry at 75 meV per atom.

***

Entry 2:
A plane-wave DFT calculation with GGA-PBEsol was carried out for an optimized crystal structure of BaTiGaF2. Values from VASP.

Structure (Quantum ESPRESSO input):
```
&SYSTEM
  ibrav = 0, nat = 5, ntyp = 4
/
ATOMIC_SPECIES
Ga 69.72 Ga.upf
F 19.00 F.upf
Ti 47.87 Ti.upf
Ba 137.33 Ba.upf
ATOMIC_POSITIONS crystal
Ga 0.0000 0.0000 0.0000
F 0.0000 0.5000 0.0000
Ti 0.5000 0.5000 0.5000
Ba 0.0000 0.0000 0.5000
F 0.5000 0.0000 0.0000
CELL_PARAMETERS angstrom
-2.2047 3.6568 -1.2844
-2.7040 -0.3927 3.5237
3.9179 3.5573 3.4029
```

As for the total energy: -19.4 eV per cell. As for the space group: P4/mmm (123). The calculation puts the density at 3.89 g/cm³.

***

Entry 3:
A plane-wave DFT calculation with GGA-PBEsol was carried out for an optimized crystal structure of Cs2SnAs2Se9. Values from VASP.

Structure (Quantum ESPRESSO input):
```
&SYSTEM
  ibrav = 0, nat = 28, ntyp = 4
/
ATOMIC_SPECIES
Se 78.96 Se.upf
Cs 132.91 Cs.upf
Sn 118.71 Sn.upf
As 74.92 As.upf
ATOMIC_POSITIONS crystal
Se 0.4001 0.4470 0.2724
Cs 0.9397 0.4800 0.2045
Se 0.4661 0.9887 0.2014
Sn 0.3340 0.1086 0.3347
Cs 0.6872 0.7671 0.4235
Se 0.1830 0.7694 0.4058
Se 0.5999 0.5530 0.7724
As 0.7919 0.9611 0.6321
As 0.2081 0.0389 0.1321
Se 0.2743 0.7774 0.8890
Sn 0.6660 0.8914 0.8347
As 0.6259 0.8138 0.0600
Cs 0.3128 0.2329 0.9235
Se 0.5977 0.6016 0.6366
Se 0.3130 0.8585 0.5369
Cs 0.0603 0.5200 0.7045
As 0.3741 0.1862 0.5600
Se 0.9768 0.9728 0.2397
Se 0.5339 0.0113 0.7014
Se 0.4023 0.3984 0.1366
Se 0.0232 0.0272 0.7397
Se 0.8170 0.2306 0.9058
Se 0.6870 0.1415 0.0369
Se 0.7322 0.3740 0.5097
Se 0.7257 0.2226 0.3890
Se 0.8110 0.7651 0.9546
Se 0.2678 0.6260 0.0097
Se 0.1890 0.2349 0.4546
CELL_PARAMETERS angstrom
-2.2829 5.4483 4.1112
-0.0160 -7.3097 3.1709
15.7887 2.3930 5.5960
```

As for the total energy: -114.0 eV per cell. As for the space group: P2_1 (4). The calculation puts the density at 4.82 g/cm³.

***

no.,raw formation energy (meV per atom)
1,564
2,-337
3,-426